# 1
VASP calculation (GGA-PBE) on a relaxed structure of Tl5In6Bi.

Its crystal system is monoclinic.

It has space group C2/m (No. 12), with a = 11.013 Å, b = 14.167 Å, c = 4.977 Å, α = 90.00°, β = 114.75° and γ = 90.00°. Symmetry generates all atoms from Tl at (0.000, 0.000, 0.000), Tl at (0.000, 0.164, 0.500), Tl at (0.000, 0.332, 0.000), In at (0.246, 0.500, 0.242), In at (0.248, 0.335, 0.748) and Bi at (0.000, 0.500, 0.500).

# 2
VASP calculation (GGA-PBE) on a relaxed structure of Tl8InBi2.

Its crystal system is monoclinic. The excess energy over the best structure of this formula in the dataset comes out at 0.043 eV per atom.

It has space group C2/m (No. 12), with a = 17.006 Å, b = 7.060 Å, c = 6.429 Å, α = 90.00°, β = 110.35° and γ = 90.00°. Symmetry generates all atoms from Tl at (0.073, 0.225, 0.243), Tl at (0.136, 0.000, 0.799), Tl at (0.235, 0.500, 0.575), In at (0.000, 0.500, 0.500) and Bi at (0.152, 0.500, 0.969).

# 3
VASP calculation (GGA-PBE) on a relaxed structure of Tl15In2Bi2.

Its crystal system is trigonal.

It has space group R-3m (No. 166, hexagonal axes), with a = 9.9496 Å, b = 9.9496 Å, c = 22.0802 Å, α = 90.00°, β = 90.00° and γ = 120.00°. Symmetry generates all atoms from Tl at (0.0000, 0.3151, 0.0000), Tl at (0.0000, 0.5000, 0.5000), Tl at (0.0631, 0.5316, 0.1166), In at (0.0000, 0.0000, 0.1006) and Bi at (0.0000, 0.0000, 0.2614).

# 4
VASP calculation (GGA-PBE) on a relaxed structure of Tl6In5Bi2.

Its crystal system is orthorhombic.

It has space group Pbam (No. 55), with a = 11.668 Å, b = 19.826 Å, c = 3.446 Å, α = 90.00°, β = 90.00° and γ = 90.00°. Symmetry generates all atoms from Tl at (0.065, 0.077, 0.000), Tl at (0.085, 0.366, 0.000), Tl at (0.181, 0.631, 0.500), In at (0.000, 0.500, 0.500), In at (0.087, 0.224, 0.500), In at (0.197, 0.943, 0.500) and Bi at (0.158, 0.788, 0.000).

# 5
VASP calculation (GGA-PBE) on a relaxed structure of Tl16In6Bi7.

Its crystal system is cubic.

It has space group Fm-3m (No. 225), with a = 15.741 Å, b = 15.741 Å, c = 15.741 Å, α = 90.00°, β = 90.00° and γ = 90.00°. Symmetry generates all atoms from Tl at (0.122, 0.122, 0.122), Tl at (0.148, 0.148, 0.352), In at (0.000, 0.000, 0.340), Bi at (0.000, 0.000, 0.000) and Bi at (0.000, 0.250, 0.250).

# 6
VASP calculation (GGA-PBE) on a relaxed structure of Tl6InBi2.

Its crystal system is monoclinic. The excess energy over the best structure of this formula in the dataset comes out at 0.000 eV per atom.

It has space group C2/m (No. 12), with a = 14.552 Å, b = 5.076 Å, c = 8.030 Å, α = 90.00°, β = 108.01° and γ = 90.00°. Symmetry generates all atoms from Tl at (0.110, 0.000, 0.173), Tl at (0.161, 0.500, 0.504), Tl at (0.216, 0.000, 0.827), In at (0.000, 0.000, 0.500) and Bi at (0.055, 0.500, 0.836).

no.,energy of formation from the pure elements (eV/atom),total magnetic moment (μB/atom),volume (Å³/atom)
1,0.02,0.000,29.4
2,0.05,0.000,32.9
3,0.10,0.000,33.2
4,0.03,0.000,30.7
5,0.07,0.000,33.6
6,-0.02,0.000,31.3